Entry 1:
# TmNi3Ge

Crystalline TmNi3Ge at its relaxed geometry (PBE-GGA, Alexandria).

total energy: -53.0 eV for the cell shown
formation enthalpy at 0 K: -0.0111 eV/atom
energy above the lowest structure with this stoichiometry: 256.9 meV per atom

Structure (extended XYZ):
```
10
Lattice="3.005 -6.485 0.000 3.005 6.485 0.000 0.000 0.000 4.451" Properties=species:S:1:pos:R:3 pbc="T T T"
Tm 3.005 5.110 3.338
Tm 3.005 -5.110 1.113
Ni 1.889 3.017 1.113
Ni 4.121 3.017 1.113
Ni 3.005 0.000 0.000
Ni 3.005 0.000 2.225
Ni 1.889 -3.017 3.338
Ni 4.121 -3.017 3.338
Ge 3.005 2.081 3.338
Ge 3.005 -2.081 1.113
```

***

Entry 2:
# TmNi6Ge

Crystalline TmNi6Ge at its relaxed geometry (PBE-GGA, Alexandria).

total energy: -43.7 eV for the cell shown
formation enthalpy at 0 K: 0.0051 eV/atom

Structure (extended XYZ):
```
8
Lattice="3.061 1.767 3.569 -3.061 1.767 3.569 0.000 -3.534 3.569" Properties=species:S:1:pos:R:3 pbc="T T T"
Tm 0.000 0.000 0.000
Ni -1.890 -1.091 4.670
Ni 0.000 -2.182 6.037
Ni -1.890 1.091 6.037
Ni 1.890 -1.091 4.670
Ni 0.000 2.182 4.670
Ni 1.890 1.091 6.037
Ge 0.000 0.000 5.353
```

***

Entry 3:
# Tm3NiGe3

Crystalline Tm3NiGe3 at its relaxed geometry (PBE-GGA, Alexandria).

total energy: -77.7 eV for the cell shown
formation enthalpy at 0 K: -0.8323 eV/atom

Structure (extended XYZ):
```
14
Lattice="5.204 -2.092 0.000 5.204 2.092 0.000 -4.676 0.000 12.847" Properties=species:S:1:pos:R:3 pbc="T T T"
Tm -1.464 0.000 4.907
Tm -3.287 0.000 11.830
Tm 1.479 0.000 2.939
Tm 4.253 0.000 9.908
Tm 9.020 0.000 1.017
Tm 7.196 0.000 7.940
Ni -0.159 0.000 7.732
Ni 5.892 0.000 5.115
Ge 1.608 0.000 5.851
Ge -0.434 0.000 11.867
Ge 1.241 0.000 9.792
Ge 4.492 0.000 3.055
Ge 6.166 0.000 0.980
Ge 4.124 0.000 6.996
```

***

Entry 4:
# Tm3Ni2Ge3

Crystalline Tm3Ni2Ge3 at its relaxed geometry (PBE-GGA, Alexandria).

total energy: -90.9 eV for the cell shown
formation enthalpy at 0 K: -0.8291 eV/atom
energy above the lowest structure with this stoichiometry: 0.0 meV per atom

Structure (extended XYZ):
```
16
Lattice="2.087 -5.088 0.000 2.087 5.088 0.000 0.000 0.000 13.955" Properties=species:S:1:pos:R:3 pbc="T T T"
Tm 2.087 4.198 8.500
Tm 2.087 4.198 12.433
Tm 2.087 1.371 10.466
Tm 2.087 -1.371 3.489
Tm 2.087 -4.198 1.522
Tm 2.087 -4.198 5.456
Ni 2.087 3.040 1.409
Ni 2.087 3.040 5.569
Ni 2.087 -3.040 8.386
Ni 2.087 -3.040 12.547
Ge 2.087 1.650 3.489
Ge 2.087 1.251 7.510
Ge 2.087 1.251 13.423
Ge 2.087 -1.251 0.532
Ge 2.087 -1.251 6.445
Ge 2.087 -1.650 10.466
```

***

Entry 5:
# TmNi2Ge

Crystalline TmNi2Ge at its relaxed geometry (PBE-GGA, Alexandria).

total energy: -22.5 eV for the cell shown
formation enthalpy at 0 K: -0.4654 eV/atom

Structure (extended XYZ):
```
4
Lattice="0.000 3.106 3.106 3.106 0.000 3.106 3.106 3.106 0.000" Properties=species:S:1:pos:R:3 pbc="T T T"
Tm 0.000 0.000 0.000
Ni 1.553 1.553 1.553
Ni 4.659 4.659 4.659
Ge 3.106 3.106 3.106
```

***

Entry 6:
# Tm2Ni3Ge5

Crystalline Tm2Ni3Ge5 at its relaxed geometry (PBE-GGA, Alexandria).

total energy: -110.7 eV for the cell shown
formation enthalpy at 0 K: -0.5999 eV/atom
energy above the lowest structure with this stoichiometry: 0.0 meV per atom

Structure (extended XYZ):
```
20
Lattice="-4.886 5.746 2.931 4.886 -5.746 2.931 4.886 5.746 -2.931" Properties=species:S:1:pos:R:3 pbc="T T T"
Tm 2.262 1.578 0.000
Tm 2.262 -1.578 2.931
Tm 2.624 7.324 0.000
Tm 2.624 4.168 2.931
Ni 3.822 -4.146 2.931
Ni 4.886 0.000 1.465
Ni 3.822 4.146 0.000
Ni 1.064 1.600 2.931
Ni 0.000 5.746 1.465
Ni 1.064 9.892 0.000
Ge 4.886 -2.615 1.465
Ge 6.473 1.108 0.000
Ge 0.000 0.000 1.465
Ge 1.587 4.638 0.000
Ge 4.886 2.615 1.465
Ge 0.000 3.131 1.465
Ge 3.299 1.108 2.931
Ge 0.000 0.000 4.396
Ge -1.587 4.638 2.931
Ge 0.000 8.362 1.465
```

***

Entry 7:
# Tm3NiGe

Crystalline Tm3NiGe at its relaxed geometry (PBE-GGA, Alexandria).

total energy: -52.6 eV for the cell shown
formation enthalpy at 0 K: -0.4989 eV/atom

Structure (extended XYZ):
```
10
Lattice="7.521 -1.882 0.000 7.521 1.882 0.000 -0.380 0.000 8.163" Properties=species:S:1:pos:R:3 pbc="T T T"
Tm 0.671 0.000 1.586
Tm 3.444 0.000 6.572
Tm 5.769 0.000 3.623
Tm 8.892 0.000 4.540
Tm 11.217 0.000 1.591
Tm 13.991 0.000 6.577
Ni 2.982 0.000 3.531
Ni 11.679 0.000 4.632
Ge 5.848 0.000 0.610
Ge 8.813 0.000 7.553
```

***

Entry 8:
# Tm3NiGe2

Crystalline Tm3NiGe2 at its relaxed geometry (PBE-GGA, Alexandria).

total energy: -132.9 eV for the cell shown
formation enthalpy at 0 K: -0.8003 eV/atom

Structure (extended XYZ):
```
24
Lattice="11.238 0.000 0.000 0.000 4.119 0.000 0.000 0.000 11.148" Properties=species:S:1:pos:R:3 pbc="T T T"
Tm 0.632 1.030 1.425
Tm 1.343 3.090 6.217
Tm 2.476 1.030 8.940
Tm 3.143 3.090 3.366
Tm 4.276 1.030 0.642
Tm 4.986 3.090 7.000
Tm 6.251 1.030 4.149
Tm 6.962 3.090 10.506
Tm 8.095 1.030 7.782
Tm 8.762 3.090 2.208
Tm 9.895 1.030 4.932
Tm 10.605 3.090 9.723
Ni 1.459 1.030 4.108
Ni 4.160 3.090 9.682
Ni 7.078 1.030 1.466
Ni 9.778 3.090 7.040
Ge 0.185 3.090 3.486
Ge 2.148 3.090 11.121
Ge 3.471 1.030 5.547
Ge 5.434 1.030 9.060
Ge 5.804 3.090 2.088
Ge 7.767 3.090 5.601
Ge 9.090 1.030 0.027
Ge 11.053 1.030 7.662
```

***

Entry 9:
# Tm2NiGe3

Crystalline Tm2NiGe3 at its relaxed geometry (PBE-GGA, Alexandria).

total energy: -32.6 eV for the cell shown
formation enthalpy at 0 K: -0.6664 eV/atom
energy above the lowest structure with this stoichiometry: 0.0 meV per atom

Structure (extended XYZ):
```
6
Lattice="3.956 0.000 0.000 0.000 4.185 0.000 0.000 0.000 7.024" Properties=species:S:1:pos:R:3 pbc="T T T"
Tm 0.000 0.000 0.000
Tm 0.000 2.092 3.434
Ni 1.978 0.000 2.189
Ge 1.978 0.000 4.470
Ge 1.978 2.092 1.255
Ge 1.978 2.092 5.811
```

***

Entry 10:
# TmNi2Ge

Crystalline TmNi2Ge at its relaxed geometry (PBE-GGA, Alexandria).

total energy: -22.3 eV for the cell shown
formation enthalpy at 0 K: -0.4074 eV/atom

Structure (extended XYZ):
```
4
Lattice="3.475 0.000 0.000 0.000 3.904 0.000 0.000 0.000 5.076" Properties=species:S:1:pos:R:3 pbc="T T T"
Tm 0.000 0.000 0.000
Ni 1.738 1.952 1.234
Ni 1.738 1.952 3.842
Ge 1.738 0.000 2.538
```